(1)
# KCaMn2Al PBE-GGA relaxed
data_KCaMn2Al
_chemical_formula_sum 'K1 Ca1 Mn2 Al1'
_cell_length_a 5.281
_cell_length_b 5.281
_cell_length_c 5.761
_cell_angle_alpha 90.00
_cell_angle_beta 90.00
_cell_angle_gamma 90.00
_symmetry_space_group_name_H-M 'P 4/m m m'
_symmetry_Int_Tables_number 123
_symmetry_space_group_name_Hall '-P 4 2'
loop_
_atom_site_label
_atom_site_type_symbol
_atom_site_fract_x
_atom_site_fract_y
_atom_site_fract_z
K1 K 0.000 0.000 0.000
Ca1 Ca 0.000 0.000 0.500
Mn1 Mn 0.000 0.500 0.500
Al1 Al 0.500 0.500 0.000
# Magnetization ... 7.3 μB/f.u.
# ΔE_f ... 1552 meV per atom
# Mass density ... 2232 kg/m3

---

(2)
# Nd2TiGe4Pt3 PBE-GGA relaxed
data_Nd2TiGe4Pt3
_chemical_formula_sum 'Nd2 Ti1 Ge4 Pt3'
_cell_length_a 4.259
_cell_length_b 4.259
_cell_length_c 10.792
_cell_angle_alpha 90.00
_cell_angle_beta 90.00
_cell_angle_gamma 90.00
_symmetry_space_group_name_H-M 'P -4 m 2'
_symmetry_Int_Tables_number 115
_symmetry_space_group_name_Hall 'P -4 -2'
loop_
_atom_site_label
_atom_site_type_symbol
_atom_site_fract_x
_atom_site_fract_y
_atom_site_fract_z
Nd1 Nd 0.000 0.500 0.243
Ti1 Ti 0.000 0.000 0.500
Ge1 Ge 0.000 0.000 0.000
Ge2 Ge 0.000 0.500 0.640
Ge3 Ge 0.500 0.500 0.000
Pt1 Pt 0.000 0.500 0.873
Pt2 Pt 0.500 0.500 0.500
# Magnetization ... 0.0 μB/f.u.
# ΔE_f ... -905 meV per atom
# Mass density ... 10281 kg/m3

---

(3)
# TlCd2Sn2 PBE-GGA relaxed
data_TlCd2Sn2
_chemical_formula_sum 'Tl2 Cd4 Sn4'
_cell_length_a 9.284
_cell_length_b 9.284
_cell_length_c 3.202
_cell_angle_alpha 90.00
_cell_angle_beta 90.00
_cell_angle_gamma 90.00
_symmetry_space_group_name_H-M 'P 4/m b m'
_symmetry_Int_Tables_number 127
_symmetry_space_group_name_Hall '-P 4 2ab'
loop_
_atom_site_label
_atom_site_type_symbol
_atom_site_fract_x
_atom_site_fract_y
_atom_site_fract_z
Tl1 Tl 0.000 0.000 0.000
Cd1 Cd 0.141 0.359 0.000
Sn1 Sn 0.156 0.656 0.500
# Magnetization ... 0.0 μB/f.u.
# ΔE_f ... 56 meV per atom
# E above lowest polymorph ... 15 meV/atom
# Mass density ... 8021 kg/m3

---

(4)
# LaNi4Te PBE-GGA relaxed
data_LaNi4Te
_chemical_formula_sum 'La4 Ni16 Te4'
_cell_length_a 7.275
_cell_length_b 7.275
_cell_length_c 7.275
_cell_angle_alpha 90.00
_cell_angle_beta 90.00
_cell_angle_gamma 90.00
_symmetry_space_group_name_H-M 'F -4 3 m'
_symmetry_Int_Tables_number 216
_symmetry_space_group_name_Hall 'F -4 2 3'
loop_
_atom_site_label
_atom_site_type_symbol
_atom_site_fract_x
_atom_site_fract_y
_atom_site_fract_z
La1 La 0.000 0.000 0.000
Ni1 Ni 0.125 0.125 0.625
Te1 Te 0.250 0.250 0.250
# Magnetization ... 1.2 μB/f.u.
# Uncorrected energy ... -0.39735 Ry per atom
# Mass density ... 8647 kg/m3

---

(5)
# AcLa2Au PBE-GGA relaxed
data_AcLa2Au
_chemical_formula_sum 'Ac1 La2 Au1'
_cell_length_a 5.791
_cell_length_b 5.791
_cell_length_c 3.841
_cell_angle_alpha 90.00
_cell_angle_beta 90.00
_cell_angle_gamma 90.00
_symmetry_space_group_name_H-M 'P 4/m m m'
_symmetry_Int_Tables_number 123
_symmetry_space_group_name_Hall '-P 4 2'
loop_
_atom_site_label
_atom_site_type_symbol
_atom_site_fract_x
_atom_site_fract_y
_atom_site_fract_z
Ac1 Ac 0.000 0.000 0.000
La1 La 0.000 0.500 0.500
Au1 Au 0.500 0.500 0.000
# Magnetization ... 0.0 μB/f.u.
# ΔE_f ... -164 meV per atom
# E above lowest polymorph ... 262 meV/atom
# Mass density ... 9047 kg/m3

---

(6)
# TbDyAsSe PBE-GGA relaxed
data_TbDyAsSe
_chemical_formula_sum 'Tb3 Dy3 As3 Se3'
_cell_length_a 4.0371
_cell_length_b 4.0371
_cell_length_c 21.2607
_cell_angle_alpha 90.00
_cell_angle_beta 90.00
_cell_angle_gamma 120.00
_symmetry_space_group_name_H-M 'R 3 m'
_symmetry_Int_Tables_number 160
_symmetry_space_group_name_Hall 'R 3 -2"'
loop_
_atom_site_label
_atom_site_type_symbol
_atom_site_fract_x
_atom_site_fract_y
_atom_site_fract_z
Tb1 Tb 0.0000 0.0000 0.0000
Dy1 Dy 0.0000 0.0000 0.8199
As1 As 0.0000 0.0000 0.4120
Se1 Se 0.0000 0.0000 0.2416
# Magnetization ... 0.0 μB/f.u.
# Uncorrected energy ... -0.43978 Ry per atom
# Mass density ... 7891 kg/m3

---

(7)
# V2Pd2Rh PBE-GGA relaxed
data_V2Pd2Rh
_chemical_formula_sum 'V4 Pd4 Rh2'
_cell_length_a 2.725
_cell_length_b 2.725
_cell_length_c 19.146
_cell_angle_alpha 90.00
_cell_angle_beta 90.00
_cell_angle_gamma 90.00
_symmetry_space_group_name_H-M 'I 4/m m m'
_symmetry_Int_Tables_number 139
_symmetry_space_group_name_Hall '-I 4 2'
loop_
_atom_site_label
_atom_site_type_symbol
_atom_site_fract_x
_atom_site_fract_y
_atom_site_fract_z
V1 V 0.000 0.000 0.095
Pd1 Pd 0.000 0.000 0.306
Rh1 Rh 0.000 0.000 0.500
# Magnetization ... 0.0 μB/f.u.
# ΔE_f ... -314 meV per atom
# E above lowest polymorph ... 0 meV/atom
# Mass density ... 9752 kg/m3

---

(8)
# Mo2Os2Rh PBE-GGA relaxed
data_Mo2Os2Rh
_chemical_formula_sum 'Mo4 Os4 Rh2'
_cell_length_a 9.201
_cell_length_b 2.753
_cell_length_c 6.804
_cell_angle_alpha 90.00
_cell_angle_beta 119.74
_cell_angle_gamma 90.00
_symmetry_space_group_name_H-M 'C 1 2/m 1'
_symmetry_Int_Tables_number 12
_symmetry_space_group_name_Hall '-C 2y'
loop_
_atom_site_label
_atom_site_type_symbol
_atom_site_fract_x
_atom_site_fract_y
_atom_site_fract_z
Mo1 Mo 0.196 0.000 0.287
Os1 Os 0.101 0.500 0.898
Rh1 Rh 0.000 0.000 0.500
# Magnetization ... 0.0 μB/f.u.
# ΔE_f ... 51 meV per atom
# E above lowest polymorph ... 0 meV/atom
# Mass density ... 14982 kg/m3